# 1
# Ag2SeF

A relaxed Ag2SeF crystal (PBE-GGA, the Alexandria database).

Cell: 3.112 3.112 7.006 Å, 90.00 90.00 90.00°
Positions (direct):
1 Ag 0.000 0.000 0.221
2 Ag 0.000 0.000 0.779
3 Se 0.500 0.500 0.500
4 F 0.500 0.500 0.000

calculated total energy = -12.70 eV per cell
formation energy from raw total energies = -0.4102 eV per atom
calculated density = 7.676 g/cm³
space group = No. 123
magnetization = 0.000 μB per atom

# 2
# Ag4Se2F

A relaxed Ag4Se2F crystal (PBE-GGA, the Alexandria database).

Cell: 4.850 4.850 16.661 Å, 90.00 90.00 134.27°
Positions (direct):
1 Ag 0.000 0.000 0.000
2 Ag 0.000 0.000 0.500
3 Ag 0.325 0.675 0.644
4 Ag 0.325 0.675 0.856
5 Ag 0.401 0.599 0.250
6 Ag 0.599 0.401 0.750
7 Ag 0.675 0.325 0.144
8 Ag 0.675 0.325 0.356
9 Se 0.383 0.617 0.093
10 Se 0.383 0.617 0.407
11 Se 0.617 0.383 0.593
12 Se 0.617 0.383 0.907
13 F 0.113 0.887 0.250
14 F 0.887 0.113 0.750

calculated total energy = -44.80 eV per cell
formation energy from raw total energies = -0.3079 eV per atom
calculated density = 7.198 g/cm³
space group = No. 63
magnetization = 0.000 μB per atom

# 3
# Ag5SeF2

A relaxed Ag5SeF2 crystal (PBE-GGA, the Alexandria database).

Cell: 4.799 5.424 5.588 Å, 95.88 97.23 90.23°
Positions (direct):
1 Ag 0.000 0.000 0.000
2 Ag 0.001 0.393 0.411
3 Ag 0.465 0.789 0.794
4 Ag 0.499 0.304 0.990
5 Ag 0.562 0.931 0.302
6 Se 0.992 0.499 0.921
7 F 0.082 0.953 0.502
8 F 0.505 0.533 0.439

calculated total energy = -25.32 eV per cell
formation energy from raw total energies = -0.4799 eV per atom
calculated density = 7.594 g/cm³
space group = No. 1
magnetization = 0.000 μB per atom

# 4
# Ag6Se2F

A relaxed Ag6Se2F crystal (PBE-GGA, the Alexandria database).

Cell: 5.292 5.292 8.375 Å, 96.20 96.20 45.37°
Positions (direct):
1 Ag 0.034 0.034 0.323
2 Ag 0.353 0.353 0.438
3 Ag 0.369 0.369 0.086
4 Ag 0.631 0.631 0.914
5 Ag 0.647 0.647 0.562
6 Ag 0.966 0.966 0.677
7 Se 0.280 0.280 0.759
8 Se 0.720 0.720 0.241
9 F 0.000 0.000 0.000

calculated total energy = -28.00 eV per cell
formation energy from raw total energies = -0.2284 eV per atom
calculated density = 8.255 g/cm³
space group = No. 12
magnetization = 0.000 μB per atom